No. 1
PBE Ca3BiH2, optimized geometry; ρ = 3.75 g/cm3; SG = C2/m, No. 12; Fermi-level density of states = 1.78 states/eV/f.u.; raw total energy = -0.2417 Ry/atom; energy above the most stable polymorph in this dataset = 117 meV per atom
1.0
11.8910 -1.9983 0.0000
11.8910 1.9983 0.0000
-1.5394 0.0000 6.1675
Ca Bi H
6 2 4
Direct
0.0412 0.0412 0.2711
0.2306 0.2306 0.2198
0.3971 0.3971 0.1287
0.6029 0.6029 0.8713
0.7694 0.7694 0.7802
0.9588 0.9588 0.7289
0.3509 0.3509 0.5701
0.6491 0.6491 0.4299
0.0597 0.0597 0.9204
0.2922 0.2922 0.9925
0.7078 0.7078 0.0075
0.9403 0.9403 0.0796

No. 2
PBE Ca3BiH, optimized geometry; ρ = 3.64 g/cm3; SG = Pmma, No. 51; Fermi-level density of states = 1.78 states/eV/f.u.; raw total energy = -0.2360 Ry/atom; energy above the most stable polymorph in this dataset = 0 meV per atom
1.0
6.7832 0.0000 0.0000
0.0000 4.4081 0.0000
0.0000 0.0000 10.0721
Ca Bi H
6 2 2
Direct
0.0000 0.0000 0.0000
0.2500 0.0000 0.3938
0.2500 0.5000 0.7398
0.5000 0.0000 0.0000
0.7500 0.0000 0.6062
0.7500 0.5000 0.2602
0.2500 0.5000 0.1605
0.7500 0.5000 0.8395
0.2500 0.0000 0.8444
0.7500 0.0000 0.1556

No. 3
PBE Ca3Bi2H, optimized geometry; ρ = 5.25 g/cm3; SG = Pnma, No. 62; Fermi-level density of states = 1.08 states/eV/f.u.; raw total energy = -0.2657 Ry/atom; energy above the most stable polymorph in this dataset = 0 meV per atom
1.0
9.3383 0.0000 0.0000
0.0000 4.0406 0.0000
0.0000 0.0000 18.0662
Ca Bi H
12 8 4
Direct
0.0316 0.2500 0.1069
0.1187 0.2500 0.5821
0.1881 0.7500 0.2724
0.3119 0.2500 0.7724
0.3813 0.7500 0.0821
0.4684 0.7500 0.6069
0.5316 0.2500 0.3931
0.6187 0.2500 0.9179
0.6881 0.7500 0.2276
0.8119 0.2500 0.7276
0.8813 0.7500 0.4179
0.9684 0.7500 0.8931
0.0742 0.7500 0.7187
0.2468 0.2500 0.9542
0.2532 0.7500 0.4542
0.4258 0.2500 0.2187
0.5742 0.7500 0.7813
0.7468 0.2500 0.5458
0.7532 0.7500 0.0458
0.9258 0.2500 0.2813
0.1450 0.7500 0.1362
0.3550 0.2500 0.6362
0.6450 0.7500 0.3638
0.8550 0.2500 0.8638

No. 4
PBE Ca2BiH2, optimized geometry; ρ = 4.90 g/cm3; SG = I4/mmm, No. 139; Fermi-level density of states = 0.89 states/eV/f.u.; raw total energy = -0.2667 Ry/atom; energy above the most stable polymorph in this dataset = 0 meV per atom
1.0
-1.9254 1.9254 6.6555
1.9254 -1.9254 6.6555
1.9254 1.9254 -6.6555
Ca Bi H
2 1 2
Direct
0.1565 0.1565 0.0000
0.8435 0.8435 0.0000
0.5000 0.5000 0.0000
0.2500 0.7500 0.5000
0.7500 0.2500 0.5000

No. 5
PBE Ca8Bi5H, optimized geometry; ρ = 5.11 g/cm3; SG = I-4, No. 82; raw total energy = -0.2596 Ry/atom
1.0
-4.7514 4.7514 4.9133
4.7514 -4.7514 4.9133
4.7514 4.7514 -4.9133
Ca Bi H
8 5 1
Direct
0.0093 0.9077 0.2641
0.0923 0.3564 0.1016
0.1484 0.3967 0.6253
0.2548 0.9907 0.8984
0.4768 0.8516 0.2482
0.6033 0.2286 0.7518
0.6436 0.7452 0.7359
0.7714 0.5232 0.3747
0.2500 0.7500 0.5000
0.3906 0.2690 0.3809
0.7310 0.1119 0.1216
0.8881 0.0097 0.6191
0.9903 0.6094 0.8784
0.5000 0.5000 0.0000

No. 6
PBE Ca6Bi3H2, optimized geometry; ρ = 4.78 g/cm3; SG = I4/mmm, No. 139; Fermi-level density of states = 3.10 states/eV/f.u.; raw total energy = -0.2570 Ry/atom
1.0
-2.4380 2.4380 12.7040
2.4380 -2.4380 12.7040
2.4380 2.4380 -12.7040
Ca Bi H
6 3 2
Direct
0.0831 0.5831 0.5000
0.1980 0.1980 0.0000
0.4169 0.9169 0.5000
0.5831 0.0831 0.5000
0.8020 0.8020 0.0000
0.9169 0.4169 0.5000
0.3252 0.3252 0.0000
0.5000 0.5000 0.0000
0.6748 0.6748 0.0000
0.0998 0.0998 0.0000
0.9002 0.9002 0.0000

No. 7
PBE Ca3BiH, optimized geometry; ρ = 2.42 g/cm3; SG = Pm-3m, No. 221; Fermi-level density of states = 5.05 states/eV/f.u.; raw total energy = -0.1765 Ry/atom; energy above the most stable polymorph in this dataset = 809 meV per atom
1.0
6.0986 0.0000 0.0000
0.0000 6.0986 0.0000
0.0000 0.0000 6.0986
Ca Bi H
3 1 1
Direct
0.0000 0.0000 0.5000
0.0000 0.5000 0.0000
0.5000 0.0000 0.0000
0.0000 0.0000 0.0000
0.5000 0.5000 0.5000

No. 8
PBE Ca3BiH, optimized geometry; ρ = 4.26 g/cm3; SG = Pm-3m, No. 221; Fermi-level density of states = 6.73 states/eV/f.u.; raw total energy = -0.2274 Ry/atom; energy above the most stable polymorph in this dataset = 117 meV per atom
1.0
5.0491 0.0000 0.0000
0.0000 5.0491 0.0000
0.0000 0.0000 5.0491
Ca Bi H
3 1 1
Direct
0.0000 0.0000 0.5000
0.0000 0.5000 0.0000
0.5000 0.0000 0.0000
0.5000 0.5000 0.5000
0.0000 0.0000 0.0000

Q: Number 4 is which compound?
A: Ca2BiH2

Q: What is the ρ in the sixth record?
A: 4.78 g/cm3